# Pr4TlSbO (GGA-PBE, optimized geometry)
data_Pr4TlSbO
_cell_length_a 9.246
_cell_length_b 9.246
_cell_length_c 6.824
_cell_angle_alpha 90.00
_cell_angle_beta 90.00
_cell_angle_gamma 136.67
_space_group_name_H-M_alt 'P 1'
_space_group_IT_number 1
loop_
_space_group_symop_operation_xyz
'x,y,z'
loop_
_atom_site_label
_atom_site_fract_x
_atom_site_fract_y
_atom_site_fract_z
_atom_site_occupancy
Pr1 0.000 0.500 0.000 1
Pr2 0.000 0.500 0.500 1
Pr3 0.078 0.922 0.750 1
Pr4 0.422 0.578 0.750 1
Pr5 0.500 0.000 0.000 1
Pr6 0.500 0.000 0.500 1
Pr7 0.578 0.422 0.250 1
Pr8 0.922 0.078 0.250 1
Tl1 0.109 0.891 0.250 1
Tl2 0.891 0.109 0.750 1
Sb1 0.389 0.611 0.250 1
Sb2 0.611 0.389 0.750 1
O1 0.250 0.750 0.750 1
O2 0.750 0.250 0.250 1
# uncorrected formation energy	-28.00	kcal/mol of atoms
# magnetic moment	0.51	μB/f.u.
# DOS at the Fermi energy	15.7	states/eV/cell
# calculated volume	200	Å³/f.u.
# symmetry	Cmcm


# Pr2TmSb2O2 (GGA-PBE, optimized geometry)
data_Pr2TmSb2O2
_cell_length_a 8.832
_cell_length_b 8.832
_cell_length_c 8.832
_cell_angle_alpha 151.49
_cell_angle_beta 151.49
_cell_angle_gamma 40.76
_space_group_name_H-M_alt 'P 1'
_space_group_IT_number 1
loop_
_space_group_symop_operation_xyz
'x,y,z'
loop_
_atom_site_label
_atom_site_fract_x
_atom_site_fract_y
_atom_site_fract_z
_atom_site_occupancy
Pr1 0.113 0.113 0.000 1
Pr2 0.887 0.887 0.000 1
Tm1 0.500 0.500 0.000 1
Sb1 0.312 0.312 0.000 1
Sb2 0.688 0.688 0.000 1
O1 0.000 0.500 0.500 1
O2 0.500 0.000 0.500 1
# uncorrected formation energy	-46.30	kcal/mol of atoms
# magnetic moment	0.00	μB/f.u.
# DOS at the Fermi energy	2.9	states/eV/cell
# calculated volume	157	Å³/f.u.
# symmetry	I4/mmm


# PrTmSb2O8 (GGA-PBE, optimized geometry)
data_PrTmSb2O8
_cell_length_a 6.817
_cell_length_b 6.817
_cell_length_c 6.817
_cell_angle_alpha 134.11
_cell_angle_beta 134.11
_cell_angle_gamma 66.91
_space_group_name_H-M_alt 'P 1'
_space_group_IT_number 1
loop_
_space_group_symop_operation_xyz
'x,y,z'
loop_
_atom_site_label
_atom_site_fract_x
_atom_site_fract_y
_atom_site_fract_z
_atom_site_occupancy
Pr1 0.000 0.000 0.000 1
Tm1 0.250 0.750 0.500 1
Sb1 0.500 0.500 0.000 1
Sb2 0.750 0.250 0.500 1
O1 0.022 0.083 0.435 1
O2 0.240 0.663 0.084 1
O3 0.337 0.422 0.577 1
O4 0.414 0.978 0.062 1
O5 0.578 0.155 0.916 1
O6 0.648 0.586 0.565 1
O7 0.845 0.760 0.423 1
O8 0.917 0.352 0.938 1
# uncorrected formation energy	-53.21	kcal/mol of atoms
# magnetic moment	0.00	μB/f.u.
# DOS at the Fermi energy	0.0	states/eV/cell
# calculated volume	161	Å³/f.u.
# symmetry	I-4


# PrYSb2O8 (GGA-PBE, optimized geometry)
data_PrYSb2O8
_cell_length_a 6.864
_cell_length_b 6.864
_cell_length_c 6.864
_cell_angle_alpha 134.17
_cell_angle_beta 134.17
_cell_angle_gamma 66.83
_space_group_name_H-M_alt 'P 1'
_space_group_IT_number 1
loop_
_space_group_symop_operation_xyz
'x,y,z'
loop_
_atom_site_label
_atom_site_fract_x
_atom_site_fract_y
_atom_site_fract_z
_atom_site_occupancy
Pr1 0.000 0.000 0.000 1
Y1 0.250 0.750 0.500 1
Sb1 0.500 0.500 0.000 1
Sb2 0.750 0.250 0.500 1
O1 0.018 0.085 0.432 1
O2 0.240 0.662 0.082 1
O3 0.338 0.420 0.578 1
O4 0.414 0.982 0.067 1
O5 0.580 0.158 0.918 1
O6 0.653 0.586 0.568 1
O7 0.842 0.760 0.422 1
O8 0.915 0.347 0.933 1
# uncorrected formation energy	-52.95	kcal/mol of atoms
# magnetic moment	0.00	μB/f.u.
# DOS at the Fermi energy	0.0	states/eV/cell
# calculated volume	164	Å³/f.u.
# symmetry	I-4


# PrZrSbO6 (GGA-PBE, optimized geometry)
data_PrZrSbO6
_cell_length_a 5.469
_cell_length_b 5.469
_cell_length_c 10.215
_cell_angle_alpha 90.00
_cell_angle_beta 90.00
_cell_angle_gamma 120.00
_space_group_name_H-M_alt 'P 1'
_space_group_IT_number 1
loop_
_space_group_symop_operation_xyz
'x,y,z'
loop_
_atom_site_label
_atom_site_fract_x
_atom_site_fract_y
_atom_site_fract_z
_atom_site_occupancy
Pr1 0.000 0.000 0.000 1
Pr2 0.000 0.000 0.500 1
Zr1 0.333 0.667 0.250 1
Zr2 0.667 0.333 0.750 1
Sb1 0.333 0.667 0.750 1
Sb2 0.667 0.333 0.250 1
O1 0.016 0.371 0.641 1
O2 0.016 0.644 0.859 1
O3 0.356 0.371 0.859 1
O4 0.356 0.984 0.641 1
O5 0.371 0.016 0.141 1
O6 0.371 0.356 0.359 1
O7 0.629 0.644 0.641 1
O8 0.629 0.984 0.859 1
O9 0.644 0.016 0.359 1
O10 0.644 0.629 0.141 1
O11 0.984 0.356 0.141 1
O12 0.984 0.629 0.359 1
# uncorrected formation energy	-60.44	kcal/mol of atoms
# magnetic moment	0.00	μB/f.u.
# DOS at the Fermi energy	0.0	states/eV/cell
# calculated volume	132	Å³/f.u.
# symmetry	P-31c


# PrSc2O (GGA-PBE, optimized geometry)
data_PrSc2O
_cell_length_a 9.131
_cell_length_b 9.131
_cell_length_c 9.131
_cell_angle_alpha 20.66
_cell_angle_beta 20.66
_cell_angle_gamma 20.66
_space_group_name_H-M_alt 'P 1'
_space_group_IT_number 1
loop_
_space_group_symop_operation_xyz
'x,y,z'
loop_
_atom_site_label
_atom_site_fract_x
_atom_site_fract_y
_atom_site_fract_z
_atom_site_occupancy
Pr1 0.000 0.000 0.000 1
Sc1 0.122 0.122 0.122 1
Sc2 0.878 0.878 0.878 1
O1 0.500 0.500 0.500 1
# uncorrected formation energy	-29.58	kcal/mol of atoms
# polymorph energy (0 for the lowest one)	0	meV/atom
# magnetic moment	0.00	μB/f.u.
# DOS at the Fermi energy	4.3	states/eV/cell
# calculated volume	83	Å³/f.u.
# symmetry	R-3m


What did the fifth record say?
# PrZrSbO6 (GGA-PBE, optimized geometry)
data_PrZrSbO6
_cell_length_a 5.469
_cell_length_b 5.469
_cell_length_c 10.215
_cell_angle_alpha 90.00
_cell_angle_beta 90.00
_cell_angle_gamma 120.00
_space_group_name_H-M_alt 'P 1'
_space_group_IT_number 1
loop_
_space_group_symop_operation_xyz
'x,y,z'
loop_
_atom_site_label
_atom_site_fract_x
_atom_site_fract_y
_atom_site_fract_z
_atom_site_occupancy
Pr1 0.000 0.000 0.000 1
Pr2 0.000 0.000 0.500 1
Zr1 0.333 0.667 0.250 1
Zr2 0.667 0.333 0.750 1
Sb1 0.333 0.667 0.750 1
Sb2 0.667 0.333 0.250 1
O1 0.016 0.371 0.641 1
O2 0.016 0.644 0.859 1
O3 0.356 0.371 0.859 1
O4 0.356 0.984 0.641 1
O5 0.371 0.016 0.141 1
O6 0.371 0.356 0.359 1
O7 0.629 0.644 0.641 1
O8 0.629 0.984 0.859 1
O9 0.644 0.016 0.359 1
O10 0.644 0.629 0.141 1
O11 0.984 0.356 0.141 1
O12 0.984 0.629 0.359 1
# uncorrected formation energy	-60.44	kcal/mol of atoms
# magnetic moment	0.00	μB/f.u.
# DOS at the Fermi energy	0.0	states/eV/cell
# calculated volume	132	Å³/f.u.
# symmetry	P-31c


Look up the calculated volume of the third one. 161 Å³/f.u.